# 1
# ZrCd3Co

ZrCd3Co after structural relaxation (GGA-PBE, Alexandria).

Unit cell a=5.589 b=5.589 c=5.589 alpha=90.00 beta=90.00 gamma=90.00
Space group Pm-3m (No. 221)
Unique sites:
1 Zr 0.000 0.000 0.000 [1 per cell]
2 Cd 0.000 0.000 0.500 [3 per cell]
3 Co 0.500 0.500 0.500 [1 per cell]

Formation energy (meV/atom): 1494
Energy above the most stable polymorph in this dataset (eV/atom): 0.9360
E_tot (eV/cell): -10.931
V (Å³/f.u.): 174.56



# 2
# ZrCdCo2

ZrCdCo2 after structural relaxation (GGA-PBE, Alexandria).

Unit cell a=6.832 b=6.832 c=5.755 alpha=90.00 beta=90.00 gamma=90.00
Space group I-42d (No. 122)
Unique sites:
1 Zr 0.000 0.000 0.000 [4 per cell]
2 Cd 0.000 0.000 0.500 [4 per cell]
3 Co 0.236 0.250 0.125 [8 per cell]

Formation energy (meV/atom): 416
E_tot (eV/cell): -88.049
V (Å³/f.u.): 67.16



# 3
# ZrCdCo2

ZrCdCo2 after structural relaxation (GGA-PBE, Alexandria).

Unit cell a=3.0947 b=3.0947 c=24.1583 alpha=90.00 beta=90.00 gamma=120.00
Space group R-3m (No. 166, hexagonal axes)
Unique sites:
1 Zr 0.0000 0.0000 0.0000 [3 per cell]
2 Cd 0.0000 0.0000 0.5000 [3 per cell]
3 Co 0.0000 0.0000 0.2542 [6 per cell]

Formation energy (meV/atom): 250
E_tot (eV/cell): -68.029
V (Å³/f.u.): 66.79



# 4
# ZrCdCo3

ZrCdCo3 after structural relaxation (GGA-PBE, Alexandria).

Unit cell a=4.567 b=4.567 c=4.567 alpha=90.00 beta=90.00 gamma=90.00
Space group Pm-3m (No. 221)
Unique sites:
1 Zr 0.000 0.000 0.000 [1 per cell]
2 Cd 0.500 0.500 0.500 [1 per cell]
3 Co 0.000 0.000 0.500 [3 per cell]

Formation energy (meV/atom): 1241
Energy above the most stable polymorph in this dataset (eV/atom): 0.0000
E_tot (eV/cell): -24.578
V (Å³/f.u.): 95.23



# 5
# Zr11Cd9Co4

Zr11Cd9Co4 after structural relaxation (GGA-PBE, Alexandria).

Unit cell a=14.075 b=20.613 c=3.293 alpha=90.00 beta=90.00 gamma=90.00
Space group Cmmm (No. 65)
Unique sites:
1 Zr 0.000 0.000 0.000 [2 per cell]
2 Zr 0.000 0.150 0.000 [4 per cell]
3 Zr 0.000 0.370 0.000 [4 per cell]
4 Zr 0.186 0.500 0.000 [4 per cell]
5 Zr 0.246 0.331 0.000 [8 per cell]
6 Cd 0.000 0.500 0.500 [2 per cell]
7 Cd 0.104 0.255 0.500 [8 per cell]
8 Cd 0.150 0.071 0.500 [8 per cell]
9 Co 0.148 0.398 0.500 [8 per cell]

Formation energy (meV/atom): -215
E_tot (eV/cell): -271.707
V (Å³/f.u.): 477.67



# 6
# ZrCd3Co

ZrCd3Co after structural relaxation (GGA-PBE, Alexandria).

Unit cell a=4.807 b=4.807 c=4.807 alpha=90.00 beta=90.00 gamma=90.00
Space group Pm-3m (No. 221)
Unique sites:
1 Zr 0.000 0.000 0.000 [1 per cell]
2 Cd 0.000 0.500 0.500 [3 per cell]
3 Co 0.500 0.500 0.500 [1 per cell]

Formation energy (meV/atom): 558
Energy above the most stable polymorph in this dataset (eV/atom): 0.0000
E_tot (eV/cell): -15.611
V (Å³/f.u.): 111.10



# 7
# Zr2Cd2Co

Zr2Cd2Co after structural relaxation (GGA-PBE, Alexandria).

Unit cell a=4.893 b=4.893 c=4.575 alpha=90.00 beta=90.00 gamma=90.00
Space group P4/mmm (No. 123)
Unique sites:
1 Zr 0.000 0.000 0.000 [1 per cell]
2 Zr 0.500 0.500 0.000 [1 per cell]
3 Cd 0.000 0.500 0.500 [2 per cell]
4 Co 0.000 0.000 0.500 [1 per cell]

Formation energy (meV/atom): 361
E_tot (eV/cell): -24.227
V (Å³/f.u.): 109.54



# 8
# Zr4Cd5Co2

Zr4Cd5Co2 after structural relaxation (GGA-PBE, Alexandria).

Unit cell a=7.537 b=3.292 c=9.050 alpha=90.00 beta=93.79 gamma=90.00
Space group P2/m (No. 10)
Unique sites:
1 Zr 0.168 0.000 0.336 [2 per cell]
2 Zr 0.203 0.000 0.943 [2 per cell]
3 Cd 0.171 0.500 0.641 [2 per cell]
4 Cd 0.459 0.500 0.167 [2 per cell]
5 Cd 0.500 0.500 0.500 [1 per cell]
6 Co 0.076 0.500 0.134 [2 per cell]

Formation energy (meV/atom): -211
E_tot (eV/cell): -55.299
V (Å³/f.u.): 224.05